[1]
Density functional theory data (PBE) for an optimized crystal structure of Pm6HIr2.

```
Pm6HIr2
1.0
-5.960 -2.170 -1.515
2.954 -5.813 -3.295
-0.597 -5.059 8.391
Pm H Ir
12 2 4
direct
0.857 0.965 0.252
0.827 0.676 0.564
0.831 0.671 0.933
0.669 0.171 0.567
0.673 0.176 0.936
0.643 0.465 0.248
0.143 0.035 0.748
0.173 0.324 0.436
0.169 0.329 0.067
0.331 0.829 0.433
0.327 0.824 0.064
0.357 0.535 0.752
0.500 0.500 0.000
0.000 0.000 0.500
0.939 0.380 0.739
0.561 0.880 0.761
0.439 0.120 0.239
0.061 0.620 0.261
```

Output
Space group = P2_1/c
DOS at the Fermi energy = 15.486 states/eV per cell
Total magnetization = 0.00 μB/cell
E_tot = -6.009 eV per atom

[2]
Density functional theory data (PBE) for an optimized crystal structure of NbAlI2O.

```
NbAlI2O
1.0
5.685 0.000 0.000
0.000 5.685 0.000
0.000 0.000 3.467
I Nb Al O
2 1 1 1
direct
0.000 0.500 0.000
0.500 0.000 0.000
0.500 0.500 0.500
0.000 0.000 0.000
0.000 0.000 0.500
```

Output
Space group = P4/mmm
DOS at the Fermi energy = 2.539 states/eV per cell
Total magnetization = 3.06 μB/cell
Raw formation energy = -303 meV/atom
Excess energy over the best structure of this formula in the dataset = 0.2196 eV per atom